# MnRu2 PBE optimized geometry
# Formation enthalpy at 0 K, eV/atom: 0.110
# D(E_F), states/eV/atom: 0.72
# ρ, kg/m3: 10802
# Symmetry: I4/mcm
# VASP energy, Ha/atom: -0.3355
data_MnRu2
_chemical_formula_sum 'Mn2 Ru4'
_cell_length_a 4.7571
_cell_length_b 4.7571
_cell_length_c 4.7571
_cell_angle_alpha 102.91
_cell_angle_beta 102.91
_cell_angle_gamma 123.57
_space_group_name_H-M_alt 'P 1'
_space_group_IT_number 1
_space_group_name_Hall 'P 1'
loop_
_atom_site_label
_atom_site_type_symbol
_atom_site_fract_x
_atom_site_fract_y
_atom_site_fract_z
_atom_site_occupancy
Mn1 Mn 0.2500 0.2500 0.0000 1
Mn2 Mn 0.7500 0.7500 0.0000 1
Ru1 Ru 0.1486 0.6486 0.7973 1
Ru2 Ru 0.3514 0.1486 0.5000 1
Ru3 Ru 0.6486 0.8514 0.5000 1
Ru4 Ru 0.8514 0.3514 0.2027 1